{"formula": "KAuCl", "functional": "PBE", "state": "relaxed", "lattice_angstrom": [[7.297, 0.000, 0.000], [0.000, 7.297, 0.000], [0.000, 0.000, 7.297]], "species": ["K", "K", "K", "K", "Au", "Au", "Au", "Au", "Cl", "Cl", "Cl", "Cl"], "frac_coords": [[0.000, 0.000, 0.000], [0.000, 0.500, 0.500], [0.500, 0.000, 0.500], [0.500, 0.500, 0.000], [0.250, 0.250, 0.250], [0.250, 0.750, 0.750], [0.750, 0.250, 0.750], [0.750, 0.750, 0.250], [0.000, 0.000, 0.500], [0.000, 0.500, 0.000], [0.500, 0.000, 0.000], [0.500, 0.500, 0.500]], "density_g_cm3": 4.641, "raw_formation_energy_ev_per_fu": -1.1, "polymorph_energy_ev_per_atom": 0.308, "space_group": "F-43m, No. 216", "dos_at_fermi_per_ev_atom": 0.7564}